Record 1
A plane-wave DFT calculation with PBE was carried out for a relaxed structure of Ni7As2.

## Properties
Its total energy is -5.23 eV per atom. The spin magnetization is 2.982 μB per cell.

a = 2.6341 Å, b = 2.6341 Å, c = 29.9734 Å
α = 90.00°, β = 90.00°, γ = 120.00°
Space group P-3m1 (No. 164)
Unique sites:
Ni1 0.0000 0.0000 0.0000
Ni2 0.0000 0.0000 0.1959
Ni3 0.3333 0.6667 0.1294
Ni4 0.3333 0.6667 0.9353
As1 0.3333 0.6667 0.7399



Record 2
A plane-wave DFT calculation with PBE was carried out for a relaxed structure of Ho2TaSi.

## Properties
Its total energy is -6.46 eV per atom. The spin magnetization is 0.006 μB per cell.

a = 3.2784 Å, b = 3.2784 Å, c = 19.5398 Å
α = 90.00°, β = 90.00°, γ = 120.00°
Space group P6_3/mmc (No. 194)
Unique sites:
Ho1 0.3333 0.6667 0.1308
Ta1 0.0000 0.0000 0.0000
Si1 0.3333 0.6667 0.7500